No. 1
The following is a DFT calculation (PBE) of a geometry-optimized Sc4Al3Ga structure.

Output
Crystal system ... trigonal
Total energy ... -5.4256 eV per atom

Cell and atoms, written as CIF:
```
data_Sc4Al3Ga
_cell_length_a 4.7650
_cell_length_b 4.7650
_cell_length_c 23.3946
_cell_angle_alpha 90.00
_cell_angle_beta 90.00
_cell_angle_gamma 120.00
_space_group_name_H-M_alt 'R -3 m'
_space_group_IT_number 166
_space_group_name_Hall '-R 3 2"'
loop_
_atom_site_label
_atom_site_fract_x
_atom_site_fract_y
_atom_site_fract_z
Sc1 0.0000 0.0000 0.1236
Sc2 0.0000 0.0000 0.3737
Al1 0.0000 0.0000 0.2479
Al2 0.0000 0.0000 0.5000
Ga1 0.0000 0.0000 0.0000
```

No. 2
The following is a DFT calculation (PBE) of a geometry-optimized Co2PPt structure.

Output
Crystal system ... trigonal
Total energy ... -6.3976 eV per atom

Cell and atoms, written as CIF:
```
data_Co2PPt
_cell_length_a 2.7437
_cell_length_b 2.7437
_cell_length_c 23.3937
_cell_angle_alpha 90.00
_cell_angle_beta 90.00
_cell_angle_gamma 120.00
_space_group_name_H-M_alt 'R 3 m'
_space_group_IT_number 160
_space_group_name_Hall 'R 3 -2"'
loop_
_atom_site_label
_atom_site_fract_x
_atom_site_fract_y
_atom_site_fract_z
Co1 0.0000 0.0000 0.0000
Co2 0.0000 0.0000 0.2490
P1 0.0000 0.0000 0.5148
Pt1 0.0000 0.0000 0.7592
```